GGA-PBE RbTbTe2, optimized geometry; M_tot = 0.0 μB per cell; space-group type = P-3m1; ΔE_f (raw) = -1.37 eV/atom; volume = 154.45 Å³/cell
1.0
4.5156 0.0000 0.0000
-2.2578 3.9107 0.0022
0.0000 -0.0043 8.7462
Rb Tb Te
1 1 2
direct
0.0000 0.5000 0.5000
0.0000 0.5000 0.0000
0.6667 0.8334 0.8014
0.3333 0.1666 0.1986